[1]
## NaGe2Br (GGA-PBE)

Data for crystalline NaGe2Br at its relaxed geometry.

```
NaGe2Br
1.0
0.000 3.628 3.628
3.628 0.000 3.628
3.628 3.628 0.000
Ge Na Br
2 1 1
direct
0.750 0.750 0.750
0.250 0.250 0.250
0.000 0.000 0.000
0.500 0.500 0.500
```

## Properties
* space group: Fm-3m, No. 225
* theoretical density: 4.31 g/cm3
* crystal system: cubic
* formation energy from raw total energies: 0.42 eV/atom

=====

[2]
## Li2HgAu (GGA-PBE)

Data for crystalline Li2HgAu at its relaxed geometry.

```
Li2HgAu
1.0
4.639 0.000 0.000
2.320 4.018 0.000
2.320 1.339 3.788
Hg Au Li
1 1 2
direct
0.750 0.750 0.750
0.500 0.500 0.500
0.250 0.250 0.250
0.000 0.000 0.000
```

## Properties
* space group: F-43m, No. 216
* calculated total energy: -2.255 eV per atom
* theoretical density: 9.68 g/cm3
* crystal system: cubic

=====

[3]
## CoCuPt (GGA-PBE)

Data for crystalline CoCuPt at its relaxed geometry.

```
CoCuPt
1.0
-2.640 -3.963 -3.092
1.101 -3.945 -3.931
1.086 2.665 4.894
Co Cu Pt
1 1 1
direct
0.997 0.997 0.000
0.340 0.340 0.000
0.663 0.663 0.000
```

## Properties
* space group: I4mm, No. 107
* calculated total energy: -5.758 eV per atom
* theoretical density: 13.43 g/cm3
* crystal system: tetragonal

=====

[4]
## BeCdCu2 (GGA-PBE)

Data for crystalline BeCdCu2 at its relaxed geometry.

```
BeCdCu2
1.0
5.066 0.081 0.030
4.228 2.792 0.030
1.965 0.607 3.816
Cd Cu Be
1 2 1
direct
0.250 0.250 0.250
0.032 0.032 0.970
0.468 0.468 0.530
0.750 0.750 0.750
```

## Properties
* space group: C2/m, No. 12
* calculated total energy: -3.095 eV per atom
* theoretical density: 7.86 g/cm3
* crystal system: monoclinic

=====

[5]
## Ti2NiPd (GGA-PBE)

Data for crystalline Ti2NiPd at its relaxed geometry.

```
Ti2NiPd
1.0
-2.481 -1.012 0.680
0.705 -3.511 -2.651
1.970 -2.369 3.661
Ni Pd Ti
1 1 2
direct
0.500 0.500 0.311
0.500 0.000 0.684
0.000 0.000 0.210
0.000 0.500 0.795
```

## Properties
* space group: Pmm2, No. 25
* calculated total energy: -7.112 eV per atom
* theoretical density: 7.35 g/cm3
* crystal system: orthorhombic

=====

[6]
## KRb2Mo (GGA-PBE)

Data for crystalline KRb2Mo at its relaxed geometry.

```
KRb2Mo
1.0
0.000 4.801 4.801
4.801 0.000 4.801
4.801 4.801 0.000
Rb K Mo
2 1 1
direct
0.750 0.750 0.750
0.250 0.250 0.250
0.000 0.000 0.000
0.500 0.500 0.500
```

## Properties
* space group: Fm-3m, No. 225
* calculated total energy: -2.282 eV per atom
* theoretical density: 2.30 g/cm3
* crystal system: cubic

=====

[7]
## LiCdSn2 (GGA-PBE)

Data for crystalline LiCdSn2 at its relaxed geometry.

```
LiCdSn2
1.0
-1.728 -7.437 2.856
4.124 -3.336 -6.190
3.756 -5.337 0.011
Cd Sn Li
2 4 2
direct
0.000 0.000 0.000
0.750 0.250 0.500
0.875 0.879 0.750
0.121 0.625 0.250
0.375 0.371 0.750
0.629 0.125 0.250
0.500 0.500 0.000
0.250 0.750 0.500
```

## Properties
* space group: I-42d, No. 122
* calculated total energy: -2.670 eV per atom
* theoretical density: 5.83 g/cm3
* crystal system: tetragonal

=====

[8]
## Fe3CuW (GGA-PBE)

Data for crystalline Fe3CuW at its relaxed geometry.

```
Fe3CuW
1.0
-3.406 2.589 1.262
-2.126 -3.579 1.604
1.943 0.623 3.967
Fe Cu W
3 1 1
direct
0.500 0.000 0.000
0.000 0.000 0.500
0.000 0.500 0.000
0.500 0.500 0.500
0.000 0.000 0.000
```

## Properties
* space group: Pm-3m, No. 221
* calculated total energy: -6.831 eV per atom
* theoretical density: 7.76 g/cm3
* crystal system: cubic